A plane-wave DFT calculation with PBE was carried out for a relaxed structure of Ac8Ir3I3Br.

Output
The calculation puts the raw formation energy at -941 meV/atom. For the calculated volume, the calculation gives 38.9 A^3/atom.

a = 9.0709 Å, b = 9.0709 Å, c = 24.5605 Å
α = 90.00°, β = 90.00°, γ = 120.00°
Space group R-3m (No. 166, hexagonal axes)
Inequivalent atoms, fractional coordinates:
Ac1 0.0000 0.0000 0.2289
Ac2 0.0365 0.5183 0.7658
Ir1 0.0000 0.5000 0.5000
I1 0.0000 0.5000 0.0000
Br1 0.0000 0.0000 0.5000